No. 1
PrCu6Pd2 PBE optimized geometry; formation energy = 0.15 eV per atom
1.0
5.1133 0.0000 0.0000
-2.5566 4.4282 0.0000
0.0000 0.0000 6.9974
Pr Cu Pd
1 6 2
Direct
0.0000 0.0000 0.0000
0.0000 0.5000 0.1995
0.0000 0.5000 0.8005
0.5000 0.0000 0.1995
0.5000 0.0000 0.8005
0.5000 0.5000 0.1995
0.5000 0.5000 0.8005
0.3333 0.6667 0.5000
0.6667 0.3333 0.5000

***

No. 2
BaCa2GeRh PBE optimized geometry; formation energy = -0.36 eV per atom
1.0
5.5132 0.0000 0.0000
0.0000 5.5132 0.0000
0.0000 0.0000 4.9497
Ba Ca Ge Rh
1 2 1 1
Direct
0.0000 0.0000 0.0000
0.0000 0.5000 0.5000
0.5000 0.0000 0.5000
0.5000 0.5000 0.0000
0.5000 0.5000 0.5000

***

No. 3
RuAuCl2 PBE optimized geometry; formation energy (no corrections) = 0.187 eV/atom; polymorph energy (0 for the lowest one) = 0.1421 eV/atom
1.0
1.6858 0.9733 9.8139
-1.6858 0.9733 9.8139
0.0000 -1.9466 9.8139
Ru Au Cl
1 1 2
Direct
0.0000 0.0000 0.0000
0.5000 0.5000 0.5000
0.3799 0.3799 0.3799
0.6201 0.6201 0.6201

***

No. 4
TbVTe PBE optimized geometry; formation energy (no corrections) = -0.511 eV/atom
1.0
4.1812 0.0000 0.0000
0.0000 4.0258 0.0000
-0.2224 0.0000 7.7694
Tb V Te
2 2 2
Direct
0.2427 0.2500 0.3502
0.7573 0.7500 0.6498
0.2128 0.7500 0.0021
0.7872 0.2500 0.9979
0.2675 0.2500 0.7657
0.7325 0.7500 0.2343

***

No. 5
Cs2HoPb3Cl12 PBE optimized geometry; formation energy (no corrections) = -1.493 eV/atom
1.0
5.0350 2.9070 8.4120
-5.0350 2.9070 8.4120
0.0000 -5.8139 8.4120
Cs Ho Pb Cl
2 1 3 12
Direct
0.1013 0.1013 0.1013
0.8987 0.8987 0.8987
0.5000 0.5000 0.5000
0.0000 0.5000 0.5000
0.5000 0.0000 0.5000
0.5000 0.5000 0.0000
0.1596 0.1596 0.5853
0.1596 0.5853 0.1596
0.1896 0.5707 0.5707
0.4147 0.8404 0.8404
0.4293 0.4293 0.8104
0.4293 0.8104 0.4293
0.5707 0.1896 0.5707
0.5707 0.5707 0.1896
0.5853 0.1596 0.1596
0.8104 0.4293 0.4293
0.8404 0.4147 0.8404
0.8404 0.8404 0.4147

***

No. 6
LiHfH2 PBE optimized geometry; polymorph energy (0 for the lowest one) = 0.0850 eV/atom
1.0
-2.1238 2.1238 4.8661
2.1238 -2.1238 4.8661
2.1238 2.1238 -4.8661
Li Hf H
2 2 4
Direct
0.0000 0.0000 0.0000
0.7500 0.2500 0.5000
0.2500 0.7500 0.5000
0.5000 0.5000 0.0000
0.1127 0.6250 0.9877
0.3750 0.3627 0.4877
0.6373 0.1250 0.0123
0.8750 0.8873 0.5123